This record from Alexandria via LeMat-Bulk describes a relaxed structure of AcLa2Y6. The functional is PBE-GGA.

a = 3.671 Å, b = 3.671 Å, c = 27.064 Å
α = 90.00°, β = 90.00°, γ = 120.00°
Fractional positions:
Y  0.333  0.667  0.562
La  0.667  0.333  0.332
Y  0.333  0.667  0.782
Y  0.667  0.333  0.885
La  0.667  0.333  0.668
Y  0.667  0.333  0.115
Ac  0.333  0.667  0.000
Y  0.333  0.667  0.438
Y  0.333  0.667  0.218

Calculated values
- total energy (eV/atom) = -5.777
- V (Å³/atom) = 35.10
- space-group type = P-6m2, No. 187
- total magnetization (μB/f.u.) = 0.0
- energy of formation (eV/atom) = 0.0842